No. 1
Computed, not measured: a relaxed Cr2IrRhBr crystal at the PBE level of DFT.

Properties
formation energy without anion corrections	1.04	eV per atom
space group	P4/mmm

```
5
Lattice="-4.005 -2.798 0.157 0.566 -0.546 4.693 -2.741 3.968 0.792" Properties=species:S:1:pos:R:3 pbc="T T T"
Rh 0.283 -0.273 2.347
Br -3.090 0.312 2.821
Cr -1.371 1.984 0.396
Ir 0.000 0.000 0.000
Cr -2.002 -1.399 0.079
```

No. 2
Computed, not measured: a relaxed As5Ru crystal at the PBE level of DFT.

Properties
ΔH_f (0 K)	222	meV/atom
space group	P4/mmm

```
6
Lattice="2.969 0.000 0.000 0.000 2.969 0.000 0.000 0.000 12.642" Properties=species:S:1:pos:R:3 pbc="T T T"
As 0.000 0.000 6.321
As 1.485 1.485 8.409
Ru 1.485 1.485 0.000
As 1.485 1.485 4.233
As 0.000 0.000 11.048
As 0.000 0.000 1.594
```